Below is a geometry-optimized MgIn2Ag2 structure, with properties calculated at the PBE level.

## Properties
Fermi-level density of states in states/eV per atom: 0.36
Formation energy in eV/atom: 0.07
Crystal system: tetragonal
Total energy in eV per cell: -24.837

Cell: 4.0131 4.0131 14.2442 Å, 90.00 90.00 90.00°
Space group I4/mmm (No. 139)
Unique sites:
Mg: 0.0000 0.0000 0.0000 (multiplicity 2)
In: 0.0000 0.0000 0.3973 (multiplicity 4)
Ag: 0.0000 0.5000 0.2500 (multiplicity 4)